(1)
VASP calculation (PBE-GGA) on an optimized crystal structure of Pr8Ho2Tl.

- Relative energy among the computed polymorphs: 0 meV per atom
- Space-group type: C2/m, No. 12
- E_tot: -4.57 eV/atom
- ΔE_f: -1.01 kcal/mol of atoms

Cell: 5.098 8.185 9.617 Å, 105.13 105.37 90.00°
Positions (direct):
1 Ho 0.225 0.633 0.450
2 Ho 0.775 0.367 0.550
3 Pr 0.591 0.444 0.183
4 Pr 0.321 0.092 0.642
5 Pr 0.045 0.727 0.090
6 Tl 0.500 0.000 0.000
7 Pr 0.679 0.908 0.358
8 Pr 0.863 0.819 0.725
9 Pr 0.409 0.556 0.817
10 Pr 0.137 0.181 0.275
11 Pr 0.955 0.273 0.910

---

(2)
VASP calculation (PBE-GGA) on an optimized crystal structure of Pr2HoTl9.

- Space-group type: P4/mmm, No. 123
- E_tot: -3.24 eV/atom
- ΔE_f: -6.71 kcal/mol of atoms

Cell: 4.825 4.825 14.462 Å, 90.00 90.00 90.00°
Positions (direct):
1 Tl 0.500 0.500 0.000
2 Tl 0.500 0.500 0.332
3 Pr 0.000 0.000 0.331
4 Tl 0.500 0.000 0.838
5 Tl 0.500 0.000 0.162
6 Tl 0.500 0.500 0.668
7 Tl 0.000 0.500 0.500
8 Tl 0.000 0.500 0.838
9 Tl 0.000 0.500 0.162
10 Pr 0.000 0.000 0.669
11 Tl 0.500 0.000 0.500
12 Ho 0.000 0.000 0.000

---

(3)
VASP calculation (PBE-GGA) on an optimized crystal structure of Pr3Ho12Tl.

- Space-group type: P4/mmm, No. 123
- E_tot: -4.49 eV/atom
- ΔE_f: -0.37 kcal/mol of atoms

Cell: 4.979 4.979 20.201 Å, 90.00 90.00 90.00°
Positions (direct):
1 Pr 0.000 0.000 0.248
2 Ho 0.500 0.500 0.243
3 Ho 0.000 0.500 0.880
4 Ho 0.500 0.000 0.120
5 Pr 0.000 0.000 0.500
6 Tl 0.000 0.000 0.000
7 Ho 0.500 0.500 0.000
8 Ho 0.500 0.500 0.757
9 Ho 0.500 0.000 0.880
10 Ho 0.000 0.500 0.373
11 Pr 0.000 0.000 0.752
12 Ho 0.500 0.000 0.627
13 Ho 0.000 0.500 0.627
14 Ho 0.500 0.500 0.500
15 Ho 0.500 0.000 0.373
16 Ho 0.000 0.500 0.120

---

(4)
VASP calculation (PBE-GGA) on an optimized crystal structure of PrHoTl.

- Relative energy among the computed polymorphs: 421 meV per atom
- Space-group type: Cmmm, No. 65
- E_tot: -3.74 eV/atom
- ΔE_f: 3.81 kcal/mol of atoms

Cell: 3.782 7.804 7.804 Å, 93.42 90.00 90.00°
Positions (direct):
1 Pr 0.500 0.224 0.776
2 Ho 0.000 0.278 0.278
3 Pr 0.500 0.776 0.224
4 Tl 0.500 0.500 0.500
5 Tl 0.000 0.000 0.000
6 Ho 0.000 0.722 0.722

---

(5)
VASP calculation (PBE-GGA) on an optimized crystal structure of Pr4HoTl.

- Relative energy among the computed polymorphs: 78 meV per atom
- Space-group type: C2/c, No. 15
- E_tot: -4.37 eV/atom
- ΔE_f: -0.54 kcal/mol of atoms

Cell: 6.643 9.244 8.541 Å, 112.97 100.31 112.83°
Positions (direct):
1 Pr 0.759 0.712 0.620
2 Pr 0.047 0.170 0.765
3 Pr 0.953 0.830 0.235
4 Pr 0.241 0.288 0.380
5 Tl 0.251 0.001 0.002
6 Ho 0.661 0.411 0.821
7 Tl 0.749 0.999 0.998
8 Pr 0.639 0.093 0.380
9 Pr 0.217 0.595 0.765
10 Pr 0.361 0.907 0.620
11 Ho 0.339 0.589 0.179
12 Pr 0.783 0.405 0.235

---

(6)
VASP calculation (PBE-GGA) on an optimized crystal structure of Pr4Ho3Tl4.

- Space-group type: Immm, No. 71
- E_tot: -4.10 eV/atom
- ΔE_f: -5.74 kcal/mol of atoms

Cell: 3.660 9.509 11.040 Å, 115.51 99.54 90.00°
Positions (direct):
1 Pr 0.338 0.512 0.677
2 Pr 0.662 0.836 0.323
3 Ho 0.093 0.093 0.186
4 Ho 0.000 0.500 0.000
5 Ho 0.907 0.907 0.814
6 Tl 0.722 0.222 0.445
7 Pr 0.338 0.164 0.677
8 Tl 0.278 0.778 0.555
9 Pr 0.662 0.488 0.323
10 Tl 0.500 0.220 0.000
11 Tl 0.500 0.780 0.000

---

(7)
VASP calculation (PBE-GGA) on an optimized crystal structure of Pr4HoTl3.

- Relative energy among the computed polymorphs: 0 meV per atom
- Space-group type: R-3m, No. 166
- E_tot: -4.09 eV/atom
- ΔE_f: -5.54 kcal/mol of atoms

Cell: 5.560 5.560 9.910 Å, 73.71 73.71 60.00°
Positions (direct):
1 Pr 0.869 0.869 0.394
2 Pr 0.131 0.131 0.606
3 Pr 0.615 0.615 0.155
4 Tl 0.737 0.737 0.789
5 Tl 0.500 0.500 0.500
6 Tl 0.263 0.263 0.211
7 Ho 0.000 0.000 0.000
8 Pr 0.385 0.385 0.845

---

(8)
VASP calculation (PBE-GGA) on an optimized crystal structure of Pr3Ho5Tl2.

- Space-group type: Ibam, No. 72
- E_tot: -4.13 eV/atom
- ΔE_f: 1.63 kcal/mol of atoms

Cell: 6.500 10.634 10.634 Å, 93.59 72.21 72.21°
Positions (direct):
1 Pr 0.620 0.640 0.119
2 Ho 0.005 0.745 0.745
3 Ho 0.495 0.255 0.255
4 Pr 0.880 0.881 0.360
5 Tl 0.362 0.992 0.285
6 Ho 0.250 0.500 0.500
7 Ho 0.882 0.454 0.781
8 Tl 0.638 0.008 0.715
9 Pr 0.380 0.360 0.881
10 Tl 0.862 0.285 0.992
11 Pr 0.250 0.000 0.000
12 Pr 0.750 0.000 0.000
13 Ho 0.750 0.500 0.500
14 Ho 0.505 0.745 0.745
15 Ho 0.382 0.781 0.454
16 Pr 0.120 0.119 0.640
17 Ho 0.995 0.255 0.255
18 Tl 0.138 0.715 0.008
19 Ho 0.118 0.546 0.219
20 Ho 0.618 0.219 0.546

---

(9)
VASP calculation (PBE-GGA) on an optimized crystal structure of Pr3Ho3Tl5.

- Space-group type: P-62m, No. 189
- E_tot: -3.18 eV/atom
- ΔE_f: 10.24 kcal/mol of atoms

Cell: 6.152 9.053 9.053 Å, 120.00 90.00 90.00°
Positions (direct):
1 Ho 0.500 0.000 0.240
2 Tl 0.500 0.620 0.000
3 Pr 0.000 0.746 0.746
4 Pr 0.000 0.000 0.254
5 Pr 0.000 0.254 0.000
6 Tl 0.500 0.667 0.333
7 Tl 0.500 0.380 0.380
8 Ho 0.500 0.240 0.000
9 Tl 0.500 0.000 0.620
10 Tl 0.500 0.333 0.667
11 Ho 0.500 0.760 0.760

---

(10)
VASP calculation (PBE-GGA) on an optimized crystal structure of PrHo8Tl6.

- Space-group type: R-3, No. 148
- E_tot: -3.83 eV/atom
- ΔE_f: -2.89 kcal/mol of atoms

Cell: 9.121 9.121 8.358 Å, 56.93 56.93 60.00°
Positions (direct):
1 Ho 0.111 0.440 0.671
2 Tl 0.723 0.406 0.807
3 Tl 0.065 0.723 0.807
4 Tl 0.594 0.935 0.193
5 Ho 0.560 0.222 0.329
6 Tl 0.406 0.065 0.807
7 Ho 0.332 0.332 0.003
8 Tl 0.935 0.277 0.193
9 Ho 0.889 0.560 0.329
10 Pr 0.000 0.000 0.000
11 Ho 0.222 0.889 0.329
12 Ho 0.668 0.668 0.997
13 Tl 0.277 0.594 0.193
14 Ho 0.440 0.778 0.671
15 Ho 0.778 0.111 0.671

---

(11)
VASP calculation (PBE-GGA) on an optimized crystal structure of Pr3Ho2Tl6.

- Space-group type: I4/mmm, No. 139
- E_tot: -3.55 eV/atom
- ΔE_f: -2.93 kcal/mol of atoms

Cell: 4.873 4.873 14.966 Å, 99.37 99.37 90.00°
Positions (direct):
1 Ho 0.554 0.554 0.108
2 Tl 0.116 0.616 0.232
3 Pr 0.802 0.802 0.604
4 Ho 0.446 0.446 0.892
5 Tl 0.693 0.693 0.385
6 Tl 0.384 0.884 0.768
7 Tl 0.616 0.116 0.232
8 Pr 0.198 0.198 0.396
9 Tl 0.884 0.384 0.768
10 Tl 0.307 0.307 0.615
11 Pr 0.000 0.000 0.000

---

(12)
VASP calculation (PBE-GGA) on an optimized crystal structure of Pr3Ho7Tl2.

- Space-group type: P2/m, No. 10
- E_tot: -4.29 eV/atom
- ΔE_f: -0.71 kcal/mol of atoms

Cell: 3.629 5.720 18.475 Å, 93.50 90.00 90.00°
Positions (direct):
1 Ho 0.000 0.000 0.000
2 Ho 0.500 0.179 0.167
3 Pr 0.500 0.500 0.000
4 Ho 0.000 0.323 0.850
5 Ho 0.500 0.821 0.833
6 Ho 0.000 0.677 0.150
7 Pr 0.000 0.775 0.635
8 Tl 0.500 0.292 0.709
9 Tl 0.500 0.708 0.291
10 Pr 0.000 0.225 0.365
11 Ho 0.500 0.259 0.542
12 Ho 0.500 0.741 0.458

---

(13)
VASP calculation (PBE-GGA) on an optimized crystal structure of Pr5Ho4Tl4.

- Space-group type: I4/m, No. 87
- E_tot: -4.22 eV/atom
- ΔE_f: -5.71 kcal/mol of atoms

Cell: 5.053 9.369 9.369 Å, 85.83 74.36 74.36°
Positions (direct):
1 Pr 0.607 0.698 0.088
2 Ho 0.401 0.692 0.505
3 Tl 0.760 0.333 0.147
4 Pr 0.000 0.000 0.000
5 Tl 0.240 0.667 0.853
6 Pr 0.305 0.088 0.302
7 Tl 0.907 0.853 0.333
8 Pr 0.695 0.912 0.698
9 Pr 0.393 0.302 0.912
10 Ho 0.599 0.308 0.495
11 Ho 0.093 0.505 0.308
12 Tl 0.093 0.147 0.667
13 Ho 0.907 0.495 0.692

---

(14)
VASP calculation (PBE-GGA) on an optimized crystal structure of Pr3HoTl.

- Relative energy among the computed polymorphs: 29 meV per atom
- Space-group type: C2/m, No. 12
- E_tot: -4.35 eV/atom
- ΔE_f: -2.27 kcal/mol of atoms

Cell: 5.633 6.816 10.302 Å, 68.08 74.13 65.59°
Positions (direct):
1 Pr 0.347 0.274 0.032
2 Pr 0.215 0.856 0.714
3 Tl 0.946 0.231 0.877
4 Pr 0.136 0.330 0.398
5 Tl 0.054 0.769 0.123
6 Pr 0.785 0.144 0.286
7 Pr 0.864 0.670 0.602
8 Pr 0.653 0.726 0.968
9 Ho 0.456 0.737 0.352
10 Ho 0.544 0.263 0.648

---

(15)
VASP calculation (PBE-GGA) on an optimized crystal structure of PrHo3Tl3.

- Relative energy among the computed polymorphs: 7 meV per atom
- Space-group type: P2_13, No. 198
- E_tot: -3.91 eV/atom
- ΔE_f: -5.70 kcal/mol of atoms

Cell: 9.398 9.398 9.398 Å, 90.00 90.00 90.00°
Positions (direct):
1 Tl 0.386 0.501 0.763
2 Tl 0.237 0.886 0.999
3 Tl 0.114 0.499 0.263
4 Tl 0.499 0.263 0.114
5 Ho 0.322 0.178 0.822
6 Tl 0.001 0.737 0.614
7 Ho 0.819 0.681 0.319
8 Ho 0.415 0.585 0.085
9 Ho 0.181 0.181 0.181
10 Tl 0.763 0.386 0.501
11 Ho 0.585 0.085 0.415
12 Pr 0.569 0.931 0.069
13 Ho 0.085 0.415 0.585
14 Pr 0.931 0.069 0.569
15 Ho 0.822 0.322 0.178
16 Tl 0.737 0.614 0.001
17 Ho 0.319 0.819 0.681
18 Tl 0.999 0.237 0.886
19 Ho 0.681 0.319 0.819
20 Tl 0.886 0.999 0.237
21 Ho 0.915 0.915 0.915
22 Ho 0.678 0.678 0.678
23 Pr 0.069 0.569 0.931
24 Pr 0.431 0.431 0.431
25 Tl 0.614 0.001 0.737
26 Tl 0.501 0.763 0.386
27 Ho 0.178 0.822 0.322
28 Tl 0.263 0.114 0.499

---

(16)
VASP calculation (PBE-GGA) on an optimized crystal structure of Pr5Ho4Tl2.

- Space-group type: P2/m, No. 10
- E_tot: -4.30 eV/atom
- ΔE_f: -0.81 kcal/mol of atoms

Cell: 3.615 8.946 11.183 Å, 94.27 90.00 90.00°
Positions (direct):
1 Tl 0.000 0.085 0.654
2 Pr 0.000 0.196 0.163
3 Ho 0.500 0.215 0.445
4 Tl 0.000 0.915 0.346
5 Pr 0.000 0.462 0.665
6 Ho 0.500 0.785 0.555
7 Pr 0.000 0.538 0.335
8 Ho 0.500 0.156 0.888
9 Pr 0.000 0.500 0.000
10 Ho 0.500 0.844 0.112
11 Pr 0.000 0.804 0.837

---

(17)
VASP calculation (PBE-GGA) on an optimized crystal structure of Pr6HoTl5.

- Relative energy among the computed polymorphs: 0 meV per atom
- Space-group type: Immm, No. 71
- E_tot: -4.06 eV/atom
- ΔE_f: -6.97 kcal/mol of atoms

Cell: 5.137 9.187 9.415 Å, 119.20 105.83 90.00°
Positions (direct):
1 Ho 0.000 0.000 0.000
2 Tl 0.327 0.327 0.654
3 Tl 0.650 0.150 0.299
4 Pr 0.171 0.432 0.343
5 Pr 0.500 0.266 0.000
6 Tl 0.000 0.500 0.000
7 Pr 0.829 0.089 0.657
8 Tl 0.350 0.850 0.701
9 Tl 0.673 0.673 0.346
10 Pr 0.500 0.734 0.000
11 Pr 0.829 0.568 0.657
12 Pr 0.171 0.911 0.343

---

(18)
VASP calculation (PBE-GGA) on an optimized crystal structure of PrHo7Tl4.

- Space-group type: C2/m, No. 12
- E_tot: -3.87 eV/atom
- ΔE_f: -0.27 kcal/mol of atoms

Cell: 5.732 9.223 7.881 Å, 72.99 68.67 71.90°
Positions (direct):
1 Ho 0.064 0.600 0.272
2 Tl 0.686 0.666 0.961
3 Tl 0.559 0.253 0.628
4 Ho 0.208 0.122 0.462
5 Tl 0.441 0.747 0.372
6 Ho 0.273 0.668 0.787
7 Ho 0.727 0.332 0.213
8 Ho 0.500 0.000 0.000
9 Ho 0.936 0.400 0.728
10 Tl 0.314 0.334 0.039
11 Ho 0.792 0.878 0.538
12 Pr 0.000 0.000 0.000

---

(19)
VASP calculation (PBE-GGA) on an optimized crystal structure of Pr2Ho3Tl3.

- Space-group type: Immm, No. 71
- E_tot: -4.04 eV/atom
- ΔE_f: -5.52 kcal/mol of atoms

Cell: 4.543 4.947 10.840 Å, 103.19 102.10 90.00°
Positions (direct):
1 Ho 0.616 0.616 0.232
2 Tl 0.123 0.123 0.245
3 Tl 0.000 0.500 0.000
4 Pr 0.740 0.240 0.481
5 Ho 0.500 0.000 0.000
6 Pr 0.260 0.760 0.519
7 Ho 0.384 0.384 0.768
8 Tl 0.877 0.877 0.755

---

(20)
VASP calculation (PBE-GGA) on an optimized crystal structure of PrHo2Tl2.

- Relative energy among the computed polymorphs: 4 meV per atom
- Space-group type: P-1, No. 2
- E_tot: -4.01 eV/atom
- ΔE_f: -6.26 kcal/mol of atoms

Cell: 6.891 8.677 9.124 Å, 69.54 63.86 37.38°
Positions (direct):
1 Tl 0.501 0.750 0.668
2 Ho 0.624 0.251 0.956
3 Ho 0.376 0.749 0.044
4 Pr 0.751 0.750 0.254
5 Pr 0.249 0.250 0.746
6 Ho 0.878 0.250 0.538
7 Tl 0.499 0.250 0.332
8 Ho 0.122 0.750 0.462
9 Tl 0.017 0.249 0.160
10 Tl 0.983 0.751 0.840